Record 1
# YPt3Se

An optimized crystal structure of YPt3Se (PBE, the Alexandria database).

abc: 5.100 5.100 5.100
angles: 90.00 90.00 90.00
Space group Pm-3m (No. 221)
Unique sites:
Y 0.000 0.000 0.000
Pt 0.000 0.000 0.500
Se 0.500 0.500 0.500

Uncorrected energy = -4.56 eV per atom
Energy above the most stable polymorph in this dataset = 1277 meV per atom
Formation energy from raw total energies = 1057 meV/atom

Record 2
# YPt2Se

An optimized crystal structure of YPt2Se (PBE, the Alexandria database).

abc: 4.966 4.966 15.534
angles: 90.00 90.00 90.00
Space group I-42d (No. 122)
Unique sites:
Y 0.000 0.000 0.000
Pt 0.155 0.250 0.625
Se 0.000 0.000 0.500

Uncorrected energy = -6.04 eV per atom
Formation energy from raw total energies = -537 meV/atom

Record 3
# YPt2Se

An optimized crystal structure of YPt2Se (PBE, the Alexandria database).

abc: 6.753 6.753 6.753
angles: 90.00 90.00 90.00
Space group F-43m (No. 216)
Unique sites:
Y 0.000 0.000 0.000
Pt 0.000 0.000 0.500
Pt 0.250 0.250 0.250
Se 0.250 0.250 0.750

Uncorrected energy = -6.12 eV per atom
Formation energy from raw total energies = -616 meV/atom

Record 4
# Y2PtSe

An optimized crystal structure of Y2PtSe (PBE, the Alexandria database).

abc: 4.070 4.070 5.910
angles: 90.00 90.00 90.00
Space group P4/mmm (No. 123)
Unique sites:
Y 0.000 0.000 0.000
Y 0.500 0.500 0.500
Pt 0.000 0.000 0.500
Se 0.500 0.500 0.000

Uncorrected energy = -7.04 eV per atom
Formation energy from raw total energies = -1422 meV/atom

Record 5
# Y2Pt2Se

An optimized crystal structure of Y2Pt2Se (PBE, the Alexandria database).

abc: 7.755 7.755 3.659
angles: 90.00 90.00 90.00
Space group P4/mbm (No. 127)
Unique sites:
Y 0.174 0.326 0.000
Pt 0.125 0.625 0.500
Se 0.000 0.000 0.500

Uncorrected energy = -6.87 eV per atom
Energy above the most stable polymorph in this dataset = 0 meV per atom
Formation energy from raw total energies = -1167 meV/atom

Record 6
# YPt2Se

An optimized crystal structure of YPt2Se (PBE, the Alexandria database).

abc: 3.754 4.385 5.103
angles: 90.00 93.01 90.00
Space group Pm (No. 6)
Unique sites:
Y 0.000 0.000 0.000
Pt 0.525 0.000 0.500
Pt 0.549 0.500 0.188
Se 0.405 0.500 0.714

Uncorrected energy = -6.30 eV per atom
Formation energy from raw total energies = -795 meV/atom

Record 7
# YPt4Se

An optimized crystal structure of YPt4Se (PBE, the Alexandria database).

abc: 7.633 7.633 7.633
angles: 90.00 90.00 90.00
Space group F-43m (No. 216)
Unique sites:
Y 0.000 0.000 0.000
Pt 0.125 0.125 0.625
Se 0.250 0.250 0.250

Uncorrected energy = -6.21 eV per atom
Formation energy from raw total energies = -526 meV/atom

Record 8
# ZnPt2Se

An optimized crystal structure of ZnPt2Se (PBE, the Alexandria database).

abc: 3.0026 3.0026 24.8644
angles: 90.00 90.00 120.00
Space group R-3m (No. 166, hexagonal axes)
Unique sites:
Zn 0.0000 0.0000 0.0000
Pt 0.0000 0.0000 0.2525
Se 0.0000 0.0000 0.5000

Uncorrected energy = -4.30 eV per atom
Formation energy from raw total energies = -94 meV/atom